Record 1
A relaxed MgZn2GaAg5 crystal, computed with PBE-GGA.

a = 2.9480 Å, b = 8.4198 Å, c = 12.9394 Å
α = 90.00°, β = 90.00°, γ = 100.08°
Fractional positions:
Mg 0.7270 0.4540 0.4869
Mg 0.2730 0.5460 0.9869
Zn 0.8783 0.7566 0.8244
Zn 0.1278 0.2556 0.6516
Zn 0.1217 0.2434 0.3244
Zn 0.8722 0.7444 0.1516
Ga 0.6126 0.2252 0.9756
Ga 0.3874 0.7748 0.4756
Ag 0.4418 0.8835 0.9884
Ag 0.7080 0.4161 0.8110
Ag 0.5303 0.0607 0.7945
Ag 0.2995 0.5990 0.6597
Ag 0.9532 0.9064 0.6320
Ag 0.5582 0.1165 0.4884
Ag 0.2920 0.5839 0.3110
Ag 0.4697 0.9393 0.2945
Ag 0.7005 0.4010 0.1597
Ag 0.0468 0.0936 0.1320

## Properties
SG: Cmc2_1 (36)
E_tot: -2.42 eV/atom
energy relative to the elements: -38 meV per atom

Record 2
A relaxed MgZnGaAg crystal, computed with PBE-GGA.

a = 2.9924 Å, b = 5.2362 Å, c = 5.0351 Å
α = 90.00°, β = 90.00°, γ = 90.00°
Fractional positions:
Mg 0.5000 0.5000 0.5000
Zn 0.0000 0.0000 0.5000
Ga 0.0000 0.0000 0.0000
Ag 0.0000 0.5000 0.0000

## Properties
SG: Pmmm (47)
E_tot: -2.12 eV/atom
energy relative to the elements: 72 meV per atom

Record 3
A relaxed Mg2ZnGaAg5 crystal, computed with PBE-GGA.

a = 2.9700 Å, b = 8.5485 Å, c = 12.9840 Å
α = 90.00°, β = 90.00°, γ = 100.00°
Fractional positions:
Mg 0.8761 0.7523 0.8279
Mg 0.1301 0.2602 0.6488
Mg 0.1239 0.2477 0.3279
Mg 0.8699 0.7398 0.1488
Zn 0.7241 0.4483 0.4858
Zn 0.2759 0.5517 0.9858
Ga 0.6134 0.2267 0.9750
Ga 0.3866 0.7733 0.4750
Ag 0.4453 0.8905 0.9894
Ag 0.7102 0.4204 0.8148
Ag 0.5321 0.0641 0.7961
Ag 0.2978 0.5956 0.6528
Ag 0.9523 0.9046 0.6334
Ag 0.5547 0.1095 0.4894
Ag 0.2898 0.5796 0.3148
Ag 0.4679 0.9359 0.2961
Ag 0.7022 0.4044 0.1528
Ag 0.0477 0.0954 0.1334

## Properties
SG: Cmc2_1 (36)
E_tot: -2.50 eV/atom
energy relative to the elements: -80 meV per atom

Record 4
A relaxed MgZnGaAg2 crystal, computed with PBE-GGA.

a = 4.5802 Å, b = 4.5802 Å, c = 5.2599 Å
α = 90.00°, β = 90.00°, γ = 120.00°
Fractional positions:
Mg 0.0000 0.0000 0.0036
Zn 0.3333 0.6667 0.6378
Ga 0.6667 0.3333 0.3615
Ag 0.3333 0.6667 0.1455
Ag 0.6667 0.3333 0.8516

## Properties
SG: P3m1 (156)
E_tot: -2.39 eV/atom
energy relative to the elements: -73 meV per atom

Record 5
A relaxed MgZnGaAg3 crystal, computed with PBE-GGA.

a = 3.0328 Å, b = 7.7280 Å, c = 10.4450 Å
α = 120.10°, β = 90.00°, γ = 90.00°
Fractional positions:
Mg 0.2500 0.2788 0.3498
Mg 0.7500 0.7212 0.6502
Zn 0.2500 0.6493 0.1164
Zn 0.7500 0.3507 0.8836
Ga 0.2500 0.0547 0.6430
Ga 0.7500 0.9453 0.3570
Ag 0.7500 0.9516 0.0983
Ag 0.2500 0.0484 0.9017
Ag 0.2500 0.6753 0.3980
Ag 0.7500 0.3247 0.6020
Ag 0.7500 0.3648 0.1508
Ag 0.2500 0.6352 0.8492

## Properties
SG: P2_1/m (11)
E_tot: -2.49 eV/atom
energy relative to the elements: -78 meV per atom

Record 6
A relaxed Mg2ZnGa2Ag4 crystal, computed with PBE-GGA.

a = 3.3831 Å, b = 7.1629 Å, c = 7.3969 Å
α = 112.17°, β = 90.00°, γ = 103.66°
Fractional positions:
Mg 0.8726 0.7452 0.3512
Mg 0.1274 0.2548 0.6488
Zn 0.0000 0.0000 0.0000
Ga 0.3294 0.6587 0.9934
Ga 0.6706 0.3413 0.0066
Ag 0.8019 0.6038 0.6735
Ag 0.1981 0.3962 0.3265
Ag 0.5252 0.0504 0.3121
Ag 0.4748 0.9496 0.6879

## Properties
SG: C2/m (12)
E_tot: -2.55 eV/atom
energy relative to the elements: -114 meV per atom